# SrBeSi2

A geometry-optimized SrBeSi2 structure (PBE-GGA, Alexandria via LeMat-Bulk).

Results
Energy relative to the elements, uncorrected ... -0.017 eV per atom
E_tot ... -4.08 eV/atom

a b c (Å): 3.8448 3.8118 5.7500
angles (deg): 90.00 102.13 90.00
With the nearest neighbours (Å) after each atom.
Element x y z (fractional)
Sr (0.0000, 0.0000, 0.0000)  2 Be 3.10, 4 Si 3.20
Be (0.5000, 0.0000, 0.5000)  4 Si 2.27
Si (0.2946, 0.5000, 0.6371)  2 Be 2.27, 2 Si 2.46-2.47
Si (0.7054, 0.5000, 0.3629)  2 Be 2.27, 2 Si 2.46-2.47



# SrBe2Si

A geometry-optimized SrBe2Si structure (PBE-GGA, Alexandria via LeMat-Bulk).

Results
Energy relative to the elements, uncorrected ... 0.083 eV per atom
E_tot ... -3.56 eV/atom

a b c (Å): 3.8674 4.4908 4.7074
angles (deg): 90.00 90.00 90.00
With the nearest neighbours (Å) after each atom.
Element x y z (fractional)
Sr (0.0000, 0.0000, 0.0000)  8 Be 3.25, 4 Si 3.25
Be (0.5000, 0.2536, 0.5000)  2 Be 2.21-2.28, 2 Si 2.23
Be (0.5000, 0.7464, 0.5000)  2 Be 2.21-2.28, 2 Si 2.23
Si (0.0000, 0.5000, 0.5000)  4 Be 2.23



> Among the records above, which one has the highest E_tot?

SrBe2Si